1.
DFT (PBE-GGA) results for an optimized crystal structure of Be16Nb2Cr.

Cell lengths 5.625, 5.625, 5.625 Å; angles 83.96, 83.96, 83.96 degrees
Each line ends with the local moment (μB).
Element x y z (fractional)
Be1 0.111 0.111 0.111  -0.01
Be2 0.704 0.291 0.999  0.01
Be3 0.651 0.158 0.651  -0.01
Be4 0.999 0.291 0.704  0.01
Be5 0.839 0.347 0.347  0.02
Be6 0.158 0.651 0.651  -0.01
Be7 0.497 0.001 0.001  0.00
Be8 0.291 0.999 0.704  0.01
Be9 0.291 0.704 0.999  0.01
Be10 0.347 0.839 0.347  0.02
Be11 0.001 0.001 0.497  0.00
Be12 0.999 0.704 0.291  0.01
Be13 0.001 0.497 0.001  0.00
Cr1 0.902 0.902 0.902  1.55
Be14 0.651 0.651 0.158  -0.01
Be15 0.704 0.999 0.291  0.01
Be16 0.347 0.347 0.839  0.02
Nb1 0.346 0.346 0.346  0.03
Nb2 0.661 0.661 0.661  0.10

Results
DFT total energy in eV/atom: -4.8479



2.
DFT (PBE-GGA) results for an optimized crystal structure of TlNiPb2.

Cell lengths 3.747, 3.747, 9.014 Å; angles 78.15, 78.15, 59.97 degrees
Element x y z (fractional)
Ni1 0.250 0.250 0.250
Pb1 0.523 0.523 0.434
Tl1 0.750 0.750 0.750
Pb2 0.977 0.977 0.066

Results
DFT total energy in eV/atom: -3.7687
E above lowest polymorph in kJ/mol of atoms: 1.4



3.
DFT (PBE-GGA) results for an optimized crystal structure of K2CuSb3Pt4.

Cell lengths 4.621, 4.621, 10.727 Å; angles 90.00, 90.00, 90.00 degrees
Element x y z (fractional)
Sb1 0.500 0.000 0.870
Pt1 0.000 0.500 0.380
Sb2 0.000 0.000 0.500
Pt2 0.500 0.000 0.620
Pt3 0.500 0.500 0.000
Sb3 0.000 0.500 0.130
K1 0.000 0.500 0.743
K2 0.500 0.000 0.257
Cu1 0.500 0.500 0.500
Pt4 0.000 0.000 0.000

Results
DFT total energy in eV/atom: -4.6689
Formation energy from raw total energies in eV per atom: -0.387



4.
DFT (PBE-GGA) results for an optimized crystal structure of TaCrFe2.

Cell lengths 4.891, 4.891, 4.891 Å; angles 144.25, 129.17, 63.69 degrees
Each line ends with the local moment (μB).
Element x y z (fractional)
Cr1 0.242 0.742 0.500  0.27
Ta1 0.498 0.498 0.000  -0.27
Fe1 0.757 0.257 0.500  2.07
Fe2 0.003 0.003 0.000  1.49

Results
DFT total energy in eV/atom: -9.5162



5.
DFT (PBE-GGA) results for an optimized crystal structure of Be2CoReC.

Cell lengths 4.253, 4.427, 4.253 Å; angles 90.00, 90.00, 90.00 degrees
Each line ends with the local moment (μB).
Element x y z (fractional)
Be1 0.500 0.000 0.000  0.01
Be2 0.000 0.000 0.500  0.00
Co1 0.000 0.500 0.000  1.18
C1 0.500 0.500 0.500  0.11
Re1 0.000 0.000 0.000  0.07

Results
DFT total energy in eV/atom: -4.7263



6.
DFT (PBE-GGA) results for an optimized crystal structure of MnPd5Au3.

Cell lengths 6.749, 6.749, 8.536 Å; angles 113.29, 113.29, 90.00 degrees
Each line ends with the local moment (μB).
Element x y z (fractional)
Au1 0.132 0.368 0.000  0.01
Pd1 0.500 0.500 0.000  0.01
Pd2 0.937 0.437 0.304  0.13
Au2 0.250 0.250 0.500  0.06
Au3 0.368 0.868 0.000  0.01
Pd3 0.134 0.063 0.696  0.13
Pd4 0.563 0.634 0.696  0.13
Pd5 0.063 0.563 0.696  0.13
Au4 0.750 0.750 0.500  0.06
Pd6 0.366 0.866 0.304  0.13
Pd7 0.866 0.937 0.304  0.13
Pd8 0.437 0.366 0.304  0.13
Au5 0.632 0.132 0.000  0.01
Mn1 0.250 0.750 0.500  3.90
Au6 0.868 0.632 0.000  0.01
Pd9 0.634 0.134 0.696  0.13
Mn2 0.750 0.250 0.500  3.90
Pd10 0.000 0.000 0.000  0.01

Results
DFT total energy in eV/atom: -4.8004



7.
DFT (PBE-GGA) results for an optimized crystal structure of AcTlTe4.

Cell lengths 7.097, 7.097, 8.965 Å; angles 90.00, 90.00, 90.00 degrees
Element x y z (fractional)
Te1 0.859 0.359 0.231
Te2 0.141 0.641 0.231
Te3 0.641 0.859 0.231
Tl1 0.500 0.500 0.500
Tl2 0.000 0.000 0.500
Te4 0.359 0.859 0.769
Te5 0.641 0.141 0.769
Ac1 0.500 0.500 0.000
Te6 0.859 0.641 0.769
Te7 0.141 0.359 0.769
Te8 0.359 0.141 0.231
Ac2 0.000 0.000 0.000

Results
DFT total energy in eV/atom: -3.9384
E above lowest polymorph in kJ/mol of atoms: 0.0
Formation energy from raw total energies in eV per atom: -0.765



8.
DFT (PBE-GGA) results for an optimized crystal structure of Ho3ReO7.

Cell lengths 6.431, 6.431, 7.420 Å; angles 90.00, 90.00, 109.75 degrees
Each line ends with the local moment (μB).
Element x y z (fractional)
O1 0.048 0.048 0.750  -0.01
O2 0.326 0.071 0.027  0.06
O3 0.071 0.326 0.027  0.06
O4 0.615 0.347 0.750  0.00
O5 0.385 0.653 0.250  0.00
O6 0.929 0.674 0.973  0.06
Ho1 0.548 0.017 0.250  0.02
Ho2 0.500 0.500 0.000  0.03
O7 0.653 0.385 0.250  0.00
O8 0.347 0.615 0.750  0.00
O9 0.929 0.674 0.527  0.06
O10 0.952 0.952 0.250  -0.01
Re1 0.000 0.000 0.000  1.11
Ho3 0.983 0.452 0.750  0.02
O11 0.326 0.071 0.473  0.06
Re2 0.000 0.000 0.500  1.11
O12 0.071 0.326 0.473  0.06
Ho4 0.017 0.548 0.250  0.02
O13 0.674 0.929 0.527  0.06
Ho5 0.452 0.983 0.750  0.02
Ho6 0.500 0.500 0.500  0.03
O14 0.674 0.929 0.973  0.06

Results
DFT total energy in eV/atom: -8.4544
E above lowest polymorph in kJ/mol of atoms: 1.5
Formation energy from raw total energies in eV per atom: -2.919



Question: Which of these has the highest DFT total energy?
Answer: TlNiPb2



Question: The lowest DFT total energy belongs to which entry?
Answer: TaCrFe2



Question: DFT total energy of number 3 (K2CuSb3Pt4)?
Answer: -4.6689 eV/atom



Repeat the eighth record exactly.
DFT (PBE-GGA) results for an optimized crystal structure of Ho3ReO7.

Cell lengths 6.431, 6.431, 7.420 Å; angles 90.00, 90.00, 109.75 degrees
Each line ends with the local moment (μB).
Element x y z (fractional)
O1 0.048 0.048 0.750  -0.01
O2 0.326 0.071 0.027  0.06
O3 0.071 0.326 0.027  0.06
O4 0.615 0.347 0.750  0.00
O5 0.385 0.653 0.250  0.00
O6 0.929 0.674 0.973  0.06
Ho1 0.548 0.017 0.250  0.02
Ho2 0.500 0.500 0.000  0.03
O7 0.653 0.385 0.250  0.00
O8 0.347 0.615 0.750  0.00
O9 0.929 0.674 0.527  0.06
O10 0.952 0.952 0.250  -0.01
Re1 0.000 0.000 0.000  1.11
Ho3 0.983 0.452 0.750  0.02
O11 0.326 0.071 0.473  0.06
Re2 0.000 0.000 0.500  1.11
O12 0.071 0.326 0.473  0.06
Ho4 0.017 0.548 0.250  0.02
O13 0.674 0.929 0.527  0.06
Ho5 0.452 0.983 0.750  0.02
Ho6 0.500 0.500 0.500  0.03
O14 0.674 0.929 0.973  0.06

Results
DFT total energy in eV/atom: -8.4544
E above lowest polymorph in kJ/mol of atoms: 1.5
Formation energy from raw total energies in eV per atom: -2.919